DFT (GGA-PBE) results for an optimized crystal structure of Pr2PdPb.

## Properties
As for the formation energy: -0.548 eV/atom. The space group is Fmmm (69).

POSCAR file:
```
Pr2PdPb
1.0
6.567 -0.580 0.000
-0.842 6.538 0.000
-2.862 -2.979 5.224
Pr Pd Pb
4 2 2
Direct
0.273 0.273 0.000
0.750 0.250 0.500
0.727 0.727 0.000
0.250 0.750 0.500
0.792 0.792 0.584
0.208 0.208 0.416
0.774 0.226 0.000
0.226 0.774 0.000
```

---

DFT (GGA-PBE) results for an optimized crystal structure of CsP2PdS.

## Properties
The space group is P4/mmm (123). The offset from the most stable computed form comes out at 1814 meV per atom.

POSCAR file:
```
CsP2PdS
1.0
5.680 0.000 0.000
0.000 5.680 0.000
0.000 0.000 5.320
Cs P S Pd
1 2 1 1
Direct
0.000 0.000 0.000
0.000 0.500 0.000
0.500 0.000 0.000
0.000 0.000 0.500
0.500 0.500 0.500
```

---

DFT (GGA-PBE) results for an optimized crystal structure of PmTm12Sc7.

## Properties
As for the formation energy: 0.273 eV/atom. The space group is R-3m (166). The offset from the most stable computed form comes out at 0 meV per atom.

POSCAR file:
```
PmTm12Sc7
1.0
9.530 -0.613 -0.920
-3.239 8.984 -0.920
-3.239 -4.309 7.937
Pm Tm Sc
1 12 7
Direct
0.000 0.000 0.000
0.000 0.282 0.718
0.718 0.282 0.000
0.429 0.096 0.429
0.904 0.571 0.571
0.282 0.000 0.718
0.571 0.571 0.904
0.429 0.429 0.096
0.718 0.000 0.282
0.096 0.429 0.429
0.571 0.904 0.571
0.282 0.718 0.000
0.000 0.718 0.282
0.844 0.512 0.844
0.488 0.156 0.156
0.156 0.156 0.488
0.500 0.500 0.500
0.844 0.844 0.512
0.512 0.844 0.844
0.156 0.488 0.156
```

---

DFT (GGA-PBE) results for an optimized crystal structure of AlZn2B.

## Properties
As for the formation energy: 0.578 eV/atom. The space group is I-42d (122). The offset from the most stable computed form comes out at 0 meV per atom.

POSCAR file:
```
AlZn2B
1.0
-3.472 -1.351 0.796
1.310 -1.438 3.276
-2.857 5.325 5.696
Zn B Al
4 2 2
Direct
0.586 0.125 0.250
0.164 0.625 0.250
0.375 0.414 0.750
0.875 0.836 0.750
0.500 0.500 0.000
0.250 0.750 0.500
0.000 0.000 0.000
0.750 0.250 0.500
```

---

DFT (GGA-PBE) results for an optimized crystal structure of ZrCu2Pb.

## Properties
As for the formation energy: 0.110 eV/atom. The space group is C2/m (12).

POSCAR file:
```
ZrCu2Pb
1.0
4.834 -0.012 0.006
3.775 3.020 0.006
0.696 0.243 5.310
Cu Pb Zr
2 1 1
Direct
0.989 0.989 0.057
0.511 0.511 0.443
0.750 0.750 0.750
0.250 0.250 0.250
```

---

DFT (GGA-PBE) results for an optimized crystal structure of AcZn3NiPd.

## Properties
As for the formation energy: -0.326 eV/atom. The space group is Cmcm (63).

POSCAR file:
```
AcZn3NiPd
1.0
5.678 0.000 0.000
0.000 6.329 0.000
0.000 -3.165 6.399
Ac Zn Ni Pd
2 6 2 2
Direct
0.750 0.269 0.539
0.250 0.731 0.461
0.250 0.138 0.276
0.000 0.295 0.000
0.500 0.705 0.000
0.500 0.295 0.000
0.000 0.705 0.000
0.750 0.862 0.724
0.250 0.948 0.897
0.750 0.052 0.103
0.250 0.348 0.695
0.750 0.652 0.305
```

---

DFT (GGA-PBE) results for an optimized crystal structure of Ce3SbH.

## Properties
The space group is Pm-3m (221). The offset from the most stable computed form comes out at 0 meV per atom.

POSCAR file:
```
Ce3SbH
1.0
4.813 0.000 0.000
0.000 4.813 0.000
0.000 0.000 4.813
Sb Ce H
1 3 1
Direct
0.500 0.500 0.500
0.000 0.500 0.000
0.000 0.000 0.500
0.500 0.000 0.000
0.000 0.000 0.000
```

---

DFT (GGA-PBE) results for an optimized crystal structure of SiSb2Rh.

## Properties
The space group is P4mm (99). The calculation puts the calculated total energy at -5.368 eV per atom.

POSCAR file:
```
SiSb2Rh
1.0
-2.305 1.411 1.852
-2.274 -0.802 -2.218
-1.187 -6.733 3.652
Rh Sb Si
1 2 1
Direct
0.500 0.500 0.690
0.000 0.000 0.929
0.500 0.500 0.324
0.000 0.000 0.556
```

---

DFT (GGA-PBE) results for an optimized crystal structure of CsEuPb4.

## Properties
As for the formation energy: -0.191 eV/atom. The space group is F-43m (216).

POSCAR file:
```
CsEuPb4
1.0
6.734 0.000 0.000
3.367 5.832 0.000
3.367 1.944 5.498
Pb Eu Cs
4 1 1
Direct
0.626 0.626 0.121
0.626 0.121 0.626
0.626 0.626 0.626
0.121 0.626 0.626
0.000 0.000 0.000
0.250 0.250 0.250
```

---

DFT (GGA-PBE) results for an optimized crystal structure of Cs2SnGe3O9.

## Properties
The space group is P6_3/m (176). The calculation puts the calculated total energy at -6.032 eV per atom.

POSCAR file:
```
Cs2SnGe3O9
1.0
7.417 0.000 0.000
-3.708 6.423 0.000
0.000 0.000 10.634
Cs Sn Ge O
4 2 6 18
Direct
0.333 0.667 0.060
0.667 0.333 0.560
0.667 0.333 0.940
0.333 0.667 0.440
0.000 0.000 0.000
0.000 0.000 0.500
0.375 0.232 0.250
0.142 0.375 0.750
0.232 0.858 0.750
0.768 0.142 0.250
0.858 0.625 0.250
0.625 0.768 0.750
0.495 0.075 0.250
0.421 0.495 0.750
0.075 0.579 0.750
0.925 0.421 0.250
0.579 0.505 0.250
0.505 0.925 0.750
0.249 0.216 0.108
0.033 0.249 0.608
0.216 0.967 0.608
0.784 0.033 0.108
0.967 0.751 0.108
0.751 0.784 0.608
0.751 0.784 0.892
0.967 0.751 0.392
0.784 0.033 0.392
0.216 0.967 0.892
0.033 0.249 0.892
0.249 0.216 0.392
```

---

DFT (GGA-PBE) results for an optimized crystal structure of CdReNi2.

## Properties
As for the formation energy: 0.811 eV/atom. The space group is I-42d (122).

POSCAR file:
```
CdReNi2
1.0
-1.365 1.228 6.530
5.530 -3.486 1.812
3.568 1.164 4.050
Re Ni Cd
2 4 2
Direct
0.000 0.000 0.000
0.750 0.250 0.500
0.654 0.125 0.250
0.096 0.625 0.250
0.375 0.346 0.750
0.875 0.904 0.750
0.500 0.500 0.000
0.250 0.750 0.500
```

---

DFT (GGA-PBE) results for an optimized crystal structure of TbPaW4.

## Properties
As for the formation energy: 0.143 eV/atom. The space group is F-43m (216).

POSCAR file:
```
TbPaW4
1.0
-1.439 1.112 -5.233
2.936 -2.124 -4.191
-2.185 -3.978 -3.177
Pa Tb W
1 1 4
Direct
0.000 0.000 0.000
0.250 0.250 0.250
0.625 0.625 0.124
0.625 0.124 0.625
0.625 0.625 0.625
0.124 0.625 0.625
```